No. 1
## CsN2ClF8 (PBE)

Data for crystalline CsN2ClF8 at its relaxed geometry.

Structure (extended XYZ):
```
12
Lattice="-4.075 3.949 2.178 -2.514 -1.969 7.347 1.262 1.748 7.673" Properties=species:S:1:pos:R:3 pbc="T T T"
Cs -2.663 1.864 8.599
N -1.366 0.843 4.397
N -3.961 2.885 12.801
Cl 0.000 0.000 0.000
F -4.095 3.441 11.540
F -4.199 1.888 5.681
F -1.231 0.287 5.658
F -1.127 1.840 11.517
F -2.669 2.995 2.867
F -2.657 0.733 14.331
F -0.358 0.755 1.632
F -4.968 2.973 15.566
```

Results
**Formation energy from raw total energies**: -734 meV/atom
**Crystal system**: monoclinic

No. 2
## SiCS2Cl (PBE)

Data for crystalline SiCS2Cl at its relaxed geometry.

Structure (extended XYZ):
```
5
Lattice="-1.877 -0.300 3.635 2.664 -2.905 1.136 2.831 3.273 1.732" Properties=species:S:1:pos:R:3 pbc="T T T"
C 0.000 0.000 0.000
S 1.332 -1.453 0.568
S -0.938 -0.150 1.817
Si 1.809 0.034 3.251
Cl 1.416 1.637 0.866
```

Results
**Formation energy from raw total energies**: 1179 meV/atom
**Crystal system**: tetragonal
**Relative energy among the computed polymorphs**: 0.0 meV/atom

No. 3
## K2RhBr (PBE)

Data for crystalline K2RhBr at its relaxed geometry.

Structure (extended XYZ):
```
4
Lattice="6.892 -0.113 0.095 3.870 5.704 -0.095 -4.986 -3.556 3.165" Properties=species:S:1:pos:R:3 pbc="T T T"
Br 2.812 2.825 1.535
K 0.143 0.074 0.000
K 3.473 -0.526 1.630
Rh 4.730 2.457 0.000
```

Results
**Formation energy from raw total energies**: -132 meV/atom
**Crystal system**: orthorhombic
**Relative energy among the computed polymorphs**: 37.0 meV/atom

No. 4
## KY2Mn (PBE)

Data for crystalline KY2Mn at its relaxed geometry.

Structure (extended XYZ):
```
4
Lattice="-2.884 1.170 -2.520 -3.661 -1.620 -0.102 -5.749 6.810 6.008" Properties=species:S:1:pos:R:3 pbc="T T T"
K -6.310 3.175 1.634
Mn -7.876 6.663 5.154
Y -7.088 0.605 -1.580
Y -9.462 5.460 3.257
```

Results
**Crystal system**: monoclinic
**ΔE_f**: 0.4361 eV per atom
**Relative energy among the computed polymorphs**: 180.7 meV/atom

No. 5
## In3SnAu6 (PBE)

Data for crystalline In3SnAu6 at its relaxed geometry.

Structure (extended XYZ):
```
20
Lattice="-6.091 1.809 3.238 0.803 -7.036 5.442 0.439 4.723 6.041" Properties=species:S:1:pos:R:3 pbc="T T T"
In -3.627 -1.213 5.922
In -4.129 -1.479 12.981
In -2.877 2.793 8.736
In -1.859 -4.291 6.755
In -0.861 -2.449 11.243
In -0.359 -2.183 4.185
Sn -4.739 2.866 5.193
Sn -0.425 -0.608 7.394
Au -3.674 0.689 3.734
Au -3.788 0.848 11.285
Au 0.388 0.678 4.811
Au -2.569 -2.277 8.755
Au 0.349 2.307 7.221
Au -3.830 0.246 8.367
Au -1.404 2.620 3.749
Au -5.129 -3.411 7.966
Au -2.244 1.460 6.210
Au -5.201 -1.495 10.154
Au -1.211 -0.043 2.424
Au -1.324 0.117 9.976
```

Results
**Crystal system**: orthorhombic
**ΔE_f**: -0.1021 eV per atom

No. 6
## CrRu2Br (PBE)

Data for crystalline CrRu2Br at its relaxed geometry.

Structure (extended XYZ):
```
4
Lattice="5.040 -0.001 0.034 4.187 2.805 0.034 0.111 0.034 4.374" Properties=species:S:1:pos:R:3 pbc="T T T"
Br 4.634 1.409 2.266
Cr 6.739 2.048 3.421
Ru 0.049 0.015 0.071
Ru 2.584 0.785 0.907
```

Results
**Formation energy from raw total energies**: 709 meV/atom
**Crystal system**: monoclinic
**Relative energy among the computed polymorphs**: 193.1 meV/atom

No. 7
## Ac4Sb2As (PBE)

Data for crystalline Ac4Sb2As at its relaxed geometry.

Structure (extended XYZ):
```
7
Lattice="5.801 0.000 0.000 0.000 5.801 0.000 -2.901 -2.901 8.599" Properties=species:S:1:pos:R:3 pbc="T T T"
Sb 2.901 2.901 2.231
Sb 0.000 0.000 6.368
Ac 2.901 2.901 5.546
Ac 0.000 0.000 3.053
Ac 0.000 2.901 0.000
Ac 2.901 0.000 0.000
As 0.000 0.000 0.000
```

Results
**Formation energy from raw total energies**: -714 meV/atom
**Crystal system**: tetragonal

No. 8
## Mg2Sb (PBE)

Data for crystalline Mg2Sb at its relaxed geometry.

Structure (extended XYZ):
```
6
Lattice="-3.630 2.300 -1.177 -0.308 -3.250 3.032 1.731 6.251 6.876" Properties=species:S:1:pos:R:3 pbc="T T T"
Mg -1.821 2.983 3.013
Mg 0.151 4.259 7.854
Mg -0.386 2.318 5.718
Mg -2.358 1.042 0.877
Sb 0.433 1.563 1.719
Sb 1.298 4.688 5.157
```

Results
**Formation energy from raw total energies**: -39 meV/atom
**Crystal system**: hexagonal

No. 9
## Ba2TeOs (PBE)

Data for crystalline Ba2TeOs at its relaxed geometry.

Structure (extended XYZ):
```
4
Lattice="6.123 -0.044 0.024 4.110 4.539 0.024 0.359 0.157 4.997" Properties=species:S:1:pos:R:3 pbc="T T T"
Ba 0.336 0.148 1.052
Ba 7.683 3.375 3.244
Os 4.415 1.939 2.853
Te 3.453 1.517 0.419
```

Results
**Formation energy from raw total energies**: -144 meV/atom
**Crystal system**: monoclinic

No. 10
## LaMgZn2Ga (PBE)

Data for crystalline LaMgZn2Ga at its relaxed geometry.

Structure (extended XYZ):
```
5
Lattice="5.650 0.000 0.000 0.000 6.308 0.000 0.000 0.000 5.650" Properties=species:S:1:pos:R:3 pbc="T T T"
Zn 0.000 0.000 2.825
Zn 2.825 0.000 0.000
Mg 0.000 3.154 0.000
Ga 2.825 3.154 2.825
La 0.000 0.000 0.000
```

Results
**Crystal system**: tetragonal
**ΔE_f**: 0.9715 eV per atom
**Relative energy among the computed polymorphs**: 796.5 meV/atom

No. 11
## TaRe2Ir (PBE)

Data for crystalline TaRe2Ir at its relaxed geometry.

Structure (extended XYZ):
```
4
Lattice="3.272 0.000 0.000 0.000 3.272 0.000 0.000 0.000 5.890" Properties=species:S:1:pos:R:3 pbc="T T T"
Ir 1.636 1.636 4.417
Re 0.000 0.000 5.875
Re 0.000 0.000 2.960
Ta 1.636 1.636 1.472
```

Results
**Crystal system**: tetragonal
**ΔE_f**: 0.1132 eV per atom
**Relative energy among the computed polymorphs**: 325.6 meV/atom

No. 12
## Y2In2Sb (PBE)

Data for crystalline Y2In2Sb at its relaxed geometry.

Structure (extended XYZ):
```
10
Lattice="-6.996 -3.450 1.329 3.521 -5.351 4.646 -0.672 2.803 3.737" Properties=species:S:1:pos:R:3 pbc="T T T"
Y 0.589 -5.644 4.338
Y -3.524 -6.435 4.192
Y -4.064 -3.158 1.637
Y 0.049 -2.366 1.783
Sb 0.000 0.000 0.000
Sb -1.738 -4.401 2.987
In 0.942 -2.497 5.022
In -1.775 -5.411 6.718
In -5.089 -3.501 4.690
In -2.372 -0.588 2.994
```

Results
**Formation energy from raw total energies**: -465 meV/atom
**Crystal system**: tetragonal
**Relative energy among the computed polymorphs**: 0.0 meV/atom

No. 13
## SrLi2Al (PBE)

Data for crystalline SrLi2Al at its relaxed geometry.

Structure (extended XYZ):
```
4
Lattice="4.309 0.000 0.000 0.000 5.167 0.000 0.000 0.000 4.919" Properties=species:S:1:pos:R:3 pbc="T T T"
Al 0.000 2.584 2.459
Li 0.000 0.000 0.000
Li 2.154 2.584 0.000
Sr 2.154 0.000 2.459
```

Results
**Crystal system**: orthorhombic
**ΔE_f**: 0.1061 eV per atom

No. 14
## Al2VI (PBE)

Data for crystalline Al2VI at its relaxed geometry.

Structure (extended XYZ):
```
4
Lattice="0.000 3.465 3.465 3.465 0.000 3.465 3.465 3.465 0.000" Properties=species:S:1:pos:R:3 pbc="T T T"
I 3.465 3.465 3.465
Al 1.733 1.733 1.733
Al 5.198 5.198 5.198
V 0.000 0.000 0.000
```

Results
**Formation energy from raw total energies**: 883 meV/atom
**Crystal system**: cubic
**Relative energy among the computed polymorphs**: 237.9 meV/atom

No. 15
## ZrMnBe2 (PBE)

Data for crystalline ZrMnBe2 at its relaxed geometry.

Structure (extended XYZ):
```
4
Lattice="0.000 2.958 2.958 2.958 0.000 2.958 2.958 2.958 0.000" Properties=species:S:1:pos:R:3 pbc="T T T"
Be 1.479 1.479 1.479
Be 4.437 4.437 4.437
Mn 0.000 0.000 0.000
Zr 2.958 2.958 2.958
```

Results
**Crystal system**: cubic
**ΔE_f**: -0.0461 eV per atom
**Relative energy among the computed polymorphs**: 0.0 meV/atom

No. 16
## Tb8Hg3Sb2 (PBE)

Data for crystalline Tb8Hg3Sb2 at its relaxed geometry.

Structure (extended XYZ):
```
13
Lattice="0.986 5.221 3.403 1.256 -4.721 6.881 6.634 1.977 -5.030" Properties=species:S:1:pos:R:3 pbc="T T T"
Tb 2.794 2.027 6.056
Tb 6.082 0.449 -0.802
Tb 3.549 4.588 2.500
Tb 5.327 -2.111 2.754
Tb 6.419 2.109 2.418
Tb 5.899 4.064 -0.431
Tb 2.977 -1.587 5.685
Tb 2.457 0.367 2.836
Hg 0.493 2.611 1.701
Hg 0.223 -0.837 1.219
Hg 1.034 -3.884 5.661
Sb 3.849 2.011 0.677
Sb 5.027 0.466 4.577
```

Results
**Formation energy from raw total energies**: -398 meV/atom
**Crystal system**: monoclinic

No. 17
## LiPtCl2 (PBE)

Data for crystalline LiPtCl2 at its relaxed geometry.

Structure (extended XYZ):
```
8
Lattice="-0.302 -4.426 2.902 1.027 -2.901 -4.317 6.557 -3.286 0.512" Properties=species:S:1:pos:R:3 pbc="T T T"
Li 0.362 -3.664 -0.708
Li 3.973 -4.925 -2.256
Pt 0.000 0.000 0.000
Pt 3.309 -5.688 1.353
Cl 1.581 -3.923 1.384
Cl 2.241 -3.215 -2.189
Cl 5.196 -5.231 -0.174
Cl 5.545 -8.858 -0.827
```

Results
**Formation energy from raw total energies**: -479 meV/atom
**Crystal system**: tetragonal
**Relative energy among the computed polymorphs**: 243.3 meV/atom

No. 18
## Ac2TbErS4 (PBE)

Data for crystalline Ac2TbErS4 at its relaxed geometry.

Structure (extended XYZ):
```
8
Lattice="-0.324 -2.681 -2.940 6.908 -0.015 -0.748 -1.791 -5.208 4.946" Properties=species:S:1:pos:R:3 pbc="T T T"
Ac -1.057 -3.944 1.003
Ac 2.559 -2.611 2.099
Tb 0.000 0.000 0.000
Er 3.292 -1.348 -1.844
S 1.119 -2.476 -0.575
S 3.674 -5.427 1.833
S 0.425 -4.089 3.682
S 4.692 -1.133 0.516
```

Results
**Formation energy from raw total energies**: -1984 meV/atom
**Crystal system**: monoclinic

No. 19
## Dy2Er5 (PBE)

Data for crystalline Dy2Er5 at its relaxed geometry.

Structure (extended XYZ):
```
14
Lattice="-1.540 4.365 4.136 1.355 -5.922 6.756 8.009 0.546 -2.253" Properties=species:S:1:pos:R:3 pbc="T T T"
Dy 6.992 -0.718 1.804
Dy 0.671 1.209 2.074
Dy 0.834 -0.293 6.835
Dy 7.155 -2.220 6.564
Er 2.449 -1.242 3.772
Er 5.726 0.279 -1.272
Er 5.313 -3.186 3.789
Er 3.703 -2.240 6.850
Er 2.512 2.176 4.850
Er 4.122 1.230 1.789
Er 2.099 -1.289 9.911
Er 5.376 0.232 4.867
Er -0.944 2.158 5.136
Er 0.760 -3.714 5.756
```

Results
**Crystal system**: monoclinic
**ΔE_f**: -0.0005 eV per atom
**Relative energy among the computed polymorphs**: 0.0 meV/atom